ZrTe2: relaxed, PBE.

Values from the calculation:
E: -0.41289 Ry/atom
formation energy without anion corrections: -674 meV/atom

Geometry as CIF:
```
data_ZrTe2
_symmetry_space_group_name_H-M 'I 4/m c m'
_symmetry_Int_Tables_number 140
_symmetry_space_group_name_Hall '-I 4 2c'
_cell_length_a 6.8659
_cell_length_b 6.8659
_cell_length_c 6.6001
_cell_angle_alpha 90.00
_cell_angle_beta 90.00
_cell_angle_gamma 90.00
loop_
_atom_site_label
_atom_site_fract_x
_atom_site_fract_y
_atom_site_fract_z
Zr1 0.0000 0.0000 0.2500
Te1 0.1619 0.3381 0.0000
```

***

Ca2PbCl2: relaxed, PBE.

Values from the calculation:
energy above the most stable polymorph in this dataset: 37 meV per atom
E: -0.25082 Ry/atom
formation energy without anion corrections: -1132 meV/atom

Geometry as CIF:
```
data_Ca2PbCl2
_symmetry_space_group_name_H-M 'I 4/m m m'
_symmetry_Int_Tables_number 139
_symmetry_space_group_name_Hall '-I 4 2'
_cell_length_a 5.1425
_cell_length_b 5.1425
_cell_length_c 11.2888
_cell_angle_alpha 90.00
_cell_angle_beta 90.00
_cell_angle_gamma 90.00
loop_
_atom_site_label
_atom_site_fract_x
_atom_site_fract_y
_atom_site_fract_z
Ca1 0.0000 0.5000 0.2500
Pb1 0.0000 0.0000 0.0000
Cl1 0.0000 0.0000 0.3481
```

***

NiRu3: relaxed, PBE.

Values from the calculation:
energy relative to the elements: 0.509 eV/atom
E: -0.58012 Ry/atom

Geometry as CIF:
```
data_NiRu3
_symmetry_space_group_name_H-M 'R -3 m'
_symmetry_Int_Tables_number 166
_symmetry_space_group_name_Hall '-R 3 2"'
_cell_length_a 8.5129
_cell_length_b 8.5129
_cell_length_c 2.6334
_cell_angle_alpha 90.00
_cell_angle_beta 90.00
_cell_angle_gamma 120.00
loop_
_atom_site_label
_atom_site_fract_x
_atom_site_fract_y
_atom_site_fract_z
Ni1 0.0000 0.0000 0.0000
Ru1 0.0000 0.5000 0.0000
```

***

CsNpCdBr6: relaxed, PBE.

Values from the calculation:
E: -0.29253 Ry/atom
formation energy without anion corrections: -1230 meV/atom

Geometry as CIF:
```
data_CsNpCdBr6
_symmetry_space_group_name_H-M 'I m m a'
_symmetry_Int_Tables_number 74
_symmetry_space_group_name_Hall '-I 2b 2'
_cell_length_a 10.0900
_cell_length_b 10.6743
_cell_length_c 15.0152
_cell_angle_alpha 90.00
_cell_angle_beta 90.00
_cell_angle_gamma 90.00
loop_
_atom_site_label
_atom_site_fract_x
_atom_site_fract_y
_atom_site_fract_z
Cs1 0.0000 0.2500 0.0522
Np1 0.0000 0.0000 0.5000
Cd1 0.2500 0.2500 0.7500
Br1 0.0000 0.2500 0.4243
Br2 0.0000 0.2500 0.8133
Br3 0.2146 0.0538 0.6201
```

***

AlCdMo2: relaxed, PBE.

Values from the calculation:
energy above the most stable polymorph in this dataset: 177 meV per atom
energy relative to the elements: 0.279 eV/atom
E: -0.46314 Ry/atom

Geometry as CIF:
```
data_AlCdMo2
_symmetry_space_group_name_H-M 'I 4/m m m'
_symmetry_Int_Tables_number 139
_symmetry_space_group_name_Hall '-I 4 2'
_cell_length_a 3.8904
_cell_length_b 3.8904
_cell_length_c 8.8032
_cell_angle_alpha 90.00
_cell_angle_beta 90.00
_cell_angle_gamma 90.00
loop_
_atom_site_label
_atom_site_fract_x
_atom_site_fract_y
_atom_site_fract_z
Al1 0.0000 0.0000 0.0000
Cd1 0.0000 0.0000 0.5000
Mo1 0.0000 0.5000 0.2500
```

***

La2MgRuN: relaxed, PBE.

Values from the calculation:
E: -0.46430 Ry/atom
formation energy without anion corrections: -507 meV/atom

Geometry as CIF:
```
data_La2MgRuN
_symmetry_space_group_name_H-M 'P 4/m m m'
_symmetry_Int_Tables_number 123
_symmetry_space_group_name_Hall '-P 4 2'
_cell_length_a 5.3333
_cell_length_b 5.3333
_cell_length_c 3.9099
_cell_angle_alpha 90.00
_cell_angle_beta 90.00
_cell_angle_gamma 90.00
loop_
_atom_site_label
_atom_site_fract_x
_atom_site_fract_y
_atom_site_fract_z
La1 0.0000 0.5000 0.0000
Mg1 0.0000 0.0000 0.5000
Ru1 0.5000 0.5000 0.5000
N1 0.5000 0.5000 0.0000
```

***

BaZnCr2Cu: relaxed, PBE.

Values from the calculation:
energy relative to the elements: 0.715 eV/atom
E: -0.33754 Ry/atom

Geometry as CIF:
```
data_BaZnCr2Cu
_symmetry_space_group_name_H-M 'P 4/m m m'
_symmetry_Int_Tables_number 123
_symmetry_space_group_name_Hall '-P 4 2'
_cell_length_a 5.0179
_cell_length_b 5.0179
_cell_length_c 4.7918
_cell_angle_alpha 90.00
_cell_angle_beta 90.00
_cell_angle_gamma 90.00
loop_
_atom_site_label
_atom_site_fract_x
_atom_site_fract_y
_atom_site_fract_z
Ba1 0.0000 0.0000 0.0000
Zn1 0.5000 0.5000 0.5000
Cr1 0.0000 0.5000 0.5000
Cu1 0.5000 0.5000 0.0000
```

***

HfTlOs2: relaxed, PBE.

Values from the calculation:
energy above the most stable polymorph in this dataset: 575 meV per atom
energy relative to the elements: 0.825 eV/atom
E: -0.57839 Ry/atom

Geometry as CIF:
```
data_HfTlOs2
_symmetry_space_group_name_H-M 'I -4 2 d'
_symmetry_Int_Tables_number 122
_symmetry_space_group_name_Hall 'I -4 2bw'
_cell_length_a 4.1896
_cell_length_b 4.1896
_cell_length_c 18.6388
_cell_angle_alpha 90.00
_cell_angle_beta 90.00
_cell_angle_gamma 90.00
loop_
_atom_site_label
_atom_site_fract_x
_atom_site_fract_y
_atom_site_fract_z
Hf1 0.0000 0.0000 0.0000
Tl1 0.0000 0.0000 0.5000
Os1 0.1721 0.2500 0.1250
```